This record from the Open Quantum Materials Database describes YP2Pd8 after structural relaxation. The functional is PBE.

Lattice parameters (Å, degrees): 6.2978 6.2978 9.2884 125.03 125.03 37.75
Sites, in units of the cell vectors:
Y  0.0000  0.0000  0.0000
P  0.4398  0.4398  0.2076
P  0.5602  0.5602  0.7924
Pd  0.0262  0.0262  0.3692
Pd  0.2670  0.2670  0.9064
Pd  0.3210  0.3210  0.6512
Pd  0.3395  0.3395  0.3556
Pd  0.6605  0.6605  0.6444
Pd  0.6790  0.6790  0.3488
Pd  0.7330  0.7330  0.0936
Pd  0.9738  0.9738  0.6308

Space-group type   C2/m
Calculated density   9282 kg/m³
VASP energy   -5.970 eV/atom